Ac3Nd7Sm2 (PBE-GGA, optimized geometry); crystal system = monoclinic; M_tot = 0.00 Bohr magnetons per cell; DFT formation energy = 0.21 eV per atom; total DFT energy (no corrections) = -4.381 eV per atom
1.0
3.7828 0.0000 -0.4962
0.0000 5.9037 0.0000
0.8100 0.0000 20.9545
Ac Nd Sm
3 7 2
direct
0.5000 0.5000 0.0000
0.8209 0.0000 0.6438
0.1791 0.0000 0.3562
0.2826 0.5000 0.5647
0.7174 0.5000 0.4353
0.4110 0.0000 0.8251
0.0000 0.0000 0.0000
0.5890 0.0000 0.1749
0.0715 0.5000 0.1420
0.9285 0.5000 0.8580
0.3590 0.5000 0.7197
0.6410 0.5000 0.2803

Ac4NdSm6 (PBE-GGA, optimized geometry); crystal system = tetragonal; M_tot = 0.00 Bohr magnetons per cell; DFT formation energy = 0.26 eV per atom; total DFT energy (no corrections) = -4.240 eV per atom
1.0
-8.7844 2.1625 -3.5063
3.6118 -3.0349 8.4782
7.5702 4.9622 3.4933
Ac Nd Sm
4 1 6
direct
0.0000 0.6237 0.0153
0.3916 0.3763 0.3763
0.0000 0.0153 0.6237
0.6084 0.9847 0.9847
0.0000 0.0000 0.0000
0.0000 0.7653 0.4343
0.0000 0.4343 0.7653
0.3309 0.5657 0.5657
0.5000 0.5000 0.0000
0.6691 0.2347 0.2347
0.5000 0.0000 0.5000